1.
Density functional theory data (PBE) for a geometry-optimized IrPt3Rh4 structure.

Cell lengths 8.7007, 3.8864, 7.7992 Å; angles 90.00, 116.54, 90.00 degrees
With the nearest neighbours (Å) after each atom.
Space group C2/m (No. 12)
Unique sites:
Ir 0.0000 0.0000 0.0000 x2  4 Pt 2.72, 8 Rh 2.74-2.75
Pt 0.0000 0.0000 0.5000 x2  8 Rh 2.75-2.77, 4 Pt 2.78
Pt 0.0015 0.5000 0.2455 x4  2 Ir 2.72, 8 Rh 2.73-2.79, 2 Pt 2.78
Rh 0.2500 0.0000 0.3729 x4  7 Pt 2.74-2.79, 1 Ir 2.74, 4 Rh 2.75-2.78
Rh 0.2499 0.0000 0.8771 x4  5 Pt 2.73-2.77, 4 Rh 2.73-2.75, 3 Ir 2.74-2.75

Values from the calculation:
magnetic moment = 0.00 μB/f.u.
polymorph energy (0 for the lowest one) = 0.000 eV/atom
raw total energy = -7.067 eV/atom
crystal system = monoclinic
E_form = -19 meV per atom



2.
Density functional theory data (PBE) for a geometry-optimized Ir6PtRh5 structure.

Cell lengths 3.8602, 7.7612, 11.5875 Å; angles 90.00, 90.00, 90.00 degrees
With the nearest neighbours (Å) after each atom.
Space group Immm (No. 71)
Unique sites:
Ir 0.0000 0.2467 0.0000 x4  6 Rh 2.72-2.77, 4 Ir 2.74, 2 Pt 2.76
Ir 0.0000 0.2516 0.3326 x8  7 Rh 2.71-2.75, 4 Ir 2.72-2.74, 1 Pt 2.75
Pt 0.0000 0.0000 0.5000 x2  4 Rh 2.75, 8 Ir 2.75-2.76
Rh 0.0000 0.0000 0.1675 x4  4 Rh 2.71-2.74, 8 Ir 2.73
Rh 0.0000 0.5000 0.1685 x4  8 Ir 2.71-2.77, 2 Rh 2.71, 2 Pt 2.75
Rh 0.0000 0.5000 0.5000 x2  8 Ir 2.72-2.73, 4 Rh 2.74

Values from the calculation:
magnetic moment = 0.00 μB/f.u.
raw total energy = -7.982 eV/atom
crystal system = orthorhombic
E_form = 15 meV per atom



3.
Density functional theory data (PBE) for a geometry-optimized IrPt4Rh3 structure.

Cell lengths 18.0370, 2.7751, 4.8025 Å; angles 90.00, 95.09, 90.00 degrees
With the nearest neighbours (Å) after each atom.
Space group C2/m (No. 12)
Unique sites:
Ir 0.0000 0.0000 0.0000 x2  6 Pt 2.75-2.76, 4 Rh 2.77, 2 Ir 2.78
Pt 0.1254 0.0000 0.3742 x4  5 Rh 2.75-2.77, 1 Ir 2.76, 6 Pt 2.77-2.78
Pt 0.1245 0.5000 0.8753 x4  2 Ir 2.75, 4 Rh 2.75-2.77, 6 Pt 2.77-2.78
Rh 0.0000 0.5000 0.5000 x2  6 Pt 2.75-2.77, 4 Ir 2.77, 2 Rh 2.78
Rh 0.2493 0.0000 0.7502 x4  6 Pt 2.75-2.77, 6 Rh 2.77-2.78

Values from the calculation:
magnetic moment = 0.00 μB/f.u.
polymorph energy (0 for the lowest one) = 0.009 eV/atom
raw total energy = -6.873 eV/atom
crystal system = monoclinic
E_form = 12 meV per atom



4.
Density functional theory data (PBE) for a geometry-optimized IrPt4Rh4 structure.

Cell lengths 8.2873, 8.2873, 3.8939 Å; angles 90.00, 90.00, 90.00 degrees
With the nearest neighbours (Å) after each atom.
Space group I4/mmm (No. 139)
Unique sites:
Ir 0.0000 0.0000 0.0000 x2  8 Pt 2.76, 4 Rh 2.78
Pt 0.1665 0.1665 0.5000 x8  2 Ir 2.76, 4 Pt 2.76, 6 Rh 2.76-2.77
Rh 0.0000 0.3357 0.0000 x8  5 Rh 2.72-2.74, 6 Pt 2.76-2.77, 1 Ir 2.78

Values from the calculation:
magnetic moment = 0.00 μB/f.u.
raw total energy = -6.937 eV/atom
crystal system = tetragonal
E_form = 0 meV per atom



5.
Density functional theory data (PBE) for a geometry-optimized Ir2PtRh structure.

Cell lengths 2.7466, 2.7466, 7.8137 Å; angles 90.00, 90.00, 90.00 degrees
With the nearest neighbours (Å) after each atom.
Space group P4mm (No. 99)
Unique sites:
Ir 0.0000 0.0000 0.0000 x1  8 Ir 2.69-2.75, 4 Rh 2.72
Ir 0.5000 0.5000 0.2383 x1  8 Ir 2.69-2.75, 4 Pt 2.80
Pt 0.0000 0.0000 0.4968 x1  4 Pt 2.75, 4 Ir 2.80, 4 Rh 2.81
Rh 0.5000 0.5000 0.7568 x1  4 Ir 2.72, 4 Rh 2.75, 4 Pt 2.81

Values from the calculation:
magnetic moment = 0.00 μB/f.u.
polymorph energy (0 for the lowest one) = 0.000 eV/atom
raw total energy = -7.788 eV/atom
crystal system = tetragonal
E_form = -9 meV per atom



6.
Density functional theory data (PBE) for a geometry-optimized Ir2PtRh8 structure.

Cell lengths 13.9138, 3.8554, 6.1024 Å; angles 90.00, 105.18, 90.00 degrees
With the nearest neighbours (Å) after each atom.
Space group C2/m (No. 12)
Unique sites:
Ir 0.2282 0.0000 0.1360 x4  10 Rh 2.69-2.73, 2 Ir 2.71
Pt 0.0000 0.5000 0.5000 x2  12 Rh 2.74-2.76
Rh 0.0472 0.0000 0.2260 x4  9 Rh 2.70-2.77, 1 Ir 2.71, 2 Pt 2.74
Rh 0.0924 0.5000 0.9590 x4  8 Rh 2.70-2.76, 3 Ir 2.71-2.72, 1 Pt 2.76
Rh 0.1382 0.0000 0.6876 x4  3 Ir 2.69-2.70, 7 Rh 2.70-2.77, 2 Pt 2.75
Rh 0.1833 0.5000 0.4100 x4  8 Rh 2.70-2.75, 3 Ir 2.72-2.73, 1 Pt 2.75

Values from the calculation:
magnetic moment = 0.00 μB/f.u.
polymorph energy (0 for the lowest one) = 0.000 eV/atom
raw total energy = -7.525 eV/atom
crystal system = monoclinic
E_form = -19 meV per atom



7.
Density functional theory data (PBE) for a geometry-optimized IrPtRh3 structure.

Cell lengths 4.6605, 4.6605, 4.6605 Å; angles 90.00, 90.00, 90.00 degrees
With the nearest neighbours (Å) after each atom.
Space group Pm-3m (No. 221)
Unique sites:
Ir 0.0000 0.0000 0.0000 x1  6 Rh 2.33
Pt 0.5000 0.5000 0.5000 x1  12 Rh 3.30
Rh 0.0000 0.0000 0.5000 x3  2 Ir 2.33

Values from the calculation:
magnetic moment = 0.00 μB/f.u.
polymorph energy (0 for the lowest one) = 1.168 eV/atom
raw total energy = -5.865 eV/atom
crystal system = cubic
E_form = 1526 meV per atom



8.
Density functional theory data (PBE) for a geometry-optimized IrPt2Rh structure.

Cell lengths 2.7057, 4.7394, 9.5468 Å; angles 90.00, 90.00, 90.00 degrees
With the nearest neighbours (Å) after each atom.
Space group Imm2 (No. 44)
Unique sites:
Ir 0.0000 0.0000 0.0000 x2  2 Rh 2.63, 2 Ir 2.71, 6 Pt 2.73
Pt 0.0000 0.0000 0.5088 x2  4 Pt 2.71-2.83, 4 Ir 2.73, 2 Rh 2.78
Pt 0.0000 0.5000 0.7482 x2  4 Pt 2.71-2.83, 2 Ir 2.73, 4 Rh 2.73
Rh 0.0000 0.5000 0.2633 x2  2 Ir 2.63, 2 Rh 2.71, 6 Pt 2.73-2.78

Values from the calculation:
magnetic moment = 0.00 μB/f.u.
polymorph energy (0 for the lowest one) = 0.135 eV/atom
raw total energy = -6.962 eV/atom
crystal system = orthorhombic
E_form = 112 meV per atom



9.
Density functional theory data (PBE) for a geometry-optimized IrPtRh2 structure.

Cell lengths 5.4816, 7.7570, 2.7484 Å; angles 90.00, 90.00, 90.00 degrees
With the nearest neighbours (Å) after each atom.
Space group Cmmm (No. 65)
Unique sites:
Ir 0.0000 0.0000 0.0000 x2  2 Pt 2.74, 8 Rh 2.74, 2 Ir 2.75
Pt 0.0000 0.5000 0.0000 x2  2 Ir 2.74, 8 Rh 2.74, 2 Pt 2.75
Rh 0.2500 0.2500 0.5000 x4  4 Rh 2.74-2.75, 4 Ir 2.74, 4 Pt 2.74

Values from the calculation:
magnetic moment = 0.00 μB/f.u.
polymorph energy (0 for the lowest one) = 0.045 eV/atom
raw total energy = -7.399 eV/atom
crystal system = orthorhombic
E_form = 3 meV per atom



10.
Density functional theory data (PBE) for a geometry-optimized Ir2Pt2Rh3 structure.

Cell lengths 3.8980, 19.6118, 2.7419 Å; angles 90.00, 90.00, 90.00 degrees
With the nearest neighbours (Å) after each atom.
Space group Cmmm (No. 65)
Unique sites:
Ir 0.0000 0.2085 0.0000 x4  4 Ir 2.54-2.74, 4 Pt 2.73, 1 Rh 2.75
Pt 0.0000 0.3596 0.5000 x4  4 Ir 2.73, 2 Pt 2.74, 5 Rh 2.75-2.77
Rh 0.0000 0.0681 0.0000 x4  7 Rh 2.67-2.74, 1 Ir 2.75, 4 Pt 2.77
Rh 0.0000 0.5000 0.5000 x2  10 Rh 2.73-2.74, 2 Pt 2.75

Values from the calculation:
magnetic moment = 0.00 μB/f.u.
raw total energy = -7.289 eV/atom
crystal system = orthorhombic
E_form = 119 meV per atom



11.
Density functional theory data (PBE) for a geometry-optimized IrPt2Rh2 structure.

Cell lengths 3.5424, 3.5424, 13.0123 Å; angles 90.00, 90.00, 90.00 degrees
With the nearest neighbours (Å) after each atom.
Space group I4/mmm (No. 139)
Unique sites:
Ir 0.0000 0.0000 0.0000 x2  8 Pt 2.81
Pt 0.0000 0.0000 0.4025 x4  1 Pt 2.54, 4 Rh 2.66, 4 Ir 2.81
Rh 0.0000 0.5000 0.2500 x4  4 Rh 2.50, 4 Pt 2.66

Values from the calculation:
magnetic moment = 0.00 μB/f.u.
polymorph energy (0 for the lowest one) = 0.564 eV/atom
raw total energy = -6.590 eV/atom
crystal system = tetragonal
E_form = 539 meV per atom



12.
Density functional theory data (PBE) for a geometry-optimized Ir2Pt2Rh structure.

Cell lengths 3.6580, 3.6580, 12.4930 Å; angles 90.00, 90.00, 90.00 degrees
With the nearest neighbours (Å) after each atom.
Space group I4/mmm (No. 139)
Unique sites:
Ir 0.0000 0.0000 0.0958 x4  1 Ir 2.39, 4 Pt 2.66
Pt 0.0000 0.5000 0.2500 x4  4 Pt 2.59, 4 Ir 2.66
Rh 0.0000 0.0000 0.5000 x2  8 Ir 2.85

Values from the calculation:
magnetic moment = 0.00 μB/f.u.
polymorph energy (0 for the lowest one) = 0.443 eV/atom
raw total energy = -6.952 eV/atom
crystal system = tetragonal
E_form = 479 meV per atom